(1)
A relaxed structure of Nd2DyY2Tm4. Source: the Alexandria database, functional PBE.

Computed properties:
DOS(E_F), states/eV/atom: 1.389
E, eV/atom: -5.00
Formation energy, eV per atom: 0.00

Lattice parameters (Å, degrees): 18.6141 3.5861 9.5286 90.00 115.76 90.00
Space group C2/m (No. 12)
Symmetry-distinct sites (fractional):
Nd1 0.1654 0.0000 0.0017 x4
Dy1 0.0000 0.5000 0.0000 x2
Y1 0.1465 0.5000 0.6619 x4
Tm1 0.0195 0.0000 0.3345 x4
Tm2 0.1851 0.5000 0.3373 x4


(2)
A relaxed structure of Pr6Sm2YEr. Source: the Alexandria database, functional PBE.

Computed properties:
DOS(E_F), states/eV/atom: 1.439
E, eV/atom: -4.80
Formation energy, eV per atom: 0.11

Lattice parameters (Å, degrees): 9.3021 15.5674 9.7927 90.00 97.77 90.00
Space group C2/c (No. 15)
Symmetry-distinct sites (fractional):
Pr1 0.0592 0.1805 0.4469 x8
Pr2 0.1030 0.3937 0.6173 x8
Pr3 0.2107 0.2212 0.8092 x8
Sm1 0.2491 0.0507 0.0441 x8
Y1 0.0000 0.0239 0.7500 x4
Er1 0.0000 0.4113 0.2500 x4


(3)
A relaxed structure of InCu2Sn. Source: the Alexandria database, functional PBE.

Computed properties:
DOS(E_F), states/eV/atom: 0.426
E, eV/atom: -3.56
Formation energy, eV per atom: 0.17

Lattice parameters (Å, degrees): 4.2777 4.2777 15.2770 90.00 90.00 120.00
Space group R3m (No. 160, hexagonal axes)
Symmetry-distinct sites (fractional):
In1 0.0000 0.0000 0.0000 x3
Cu1 0.0000 0.0000 0.4249 x3
Cu2 0.0000 0.0000 0.5926 x3
Sn1 0.0000 0.0000 0.1928 x3